i:
Here is an optimized crystal structure of Rb5HoO4 from Alexandria. Energies are from PBE-GGA.

Structure (extended XYZ):
```
20
Lattice="6.655 0.000 0.000 0.000 9.140 0.000 0.000 0.000 8.535" Properties=species:S:1:pos:R:3 pbc="T T T"
O 4.088 4.570 2.429
O 0.253 1.837 0.000
O 4.088 4.570 6.106
O 6.402 2.733 4.267
O 2.567 0.000 6.697
O 2.567 0.000 1.838
O 0.253 7.303 0.000
O 6.402 6.407 4.267
Rb 1.152 0.000 4.267
Rb 4.933 1.726 2.021
Rb 1.722 2.844 2.246
Rb 4.933 7.414 6.514
Rb 1.722 2.844 6.288
Rb 4.933 1.726 6.514
Rb 1.722 6.296 6.288
Rb 5.503 4.570 0.000
Rb 4.933 7.414 2.021
Rb 1.722 6.296 2.246
Ho 5.234 4.570 4.267
Ho 1.421 0.000 0.000
```

Summary:
* crystal system: orthorhombic
* total moment: 0.073 μB per formula unit
* symmetry: Pmmn, No. 59

---

ii:
Here is an optimized crystal structure of Rb5HoO4 from Alexandria. Energies are from PBE-GGA.

Structure (extended XYZ):
```
10
Lattice="3.730 0.000 0.000 0.000 7.646 -0.515 -1.865 -1.612 8.799" Properties=species:S:1:pos:R:3 pbc="T T T"
Rb 1.865 3.823 -0.258
Rb 1.865 4.062 5.770
Rb 1.865 -0.051 5.940
Rb 0.000 6.084 2.344
Rb 0.000 1.972 2.514
O 0.000 6.092 -0.400
O 0.000 5.840 5.988
O 1.865 0.194 2.296
O 1.865 -0.058 8.683
Ho 1.865 0.000 0.000
```

Summary:
* crystal system: monoclinic
* total moment: 0.000 μB per formula unit
* symmetry: C2/m, No. 12

---

Energy ordering: i at the bottom, the next structure 111 meV/atom above.

---

i:
Here is an optimized crystal structure of Ho3ReO8 from Alexandria. Energies are from PBE-GGA.

Structure (extended XYZ):
```
48
Lattice="-2.788 -5.318 0.489 1.893 -1.617 -6.796 12.770 -6.738 -0.475" Properties=species:S:1:pos:R:3 pbc="T T T"
O 7.968 -4.678 -1.972
O 6.486 -6.520 -0.868
O 0.424 -6.240 -1.928
O 8.449 -11.236 -2.042
O 0.824 -2.115 -3.872
O 8.737 -10.603 -6.511
O 9.273 -6.915 -0.464
O 10.684 -12.601 -5.960
O 11.050 -11.558 -2.909
O 7.453 -5.861 -6.769
O 2.602 -6.758 -6.317
O 4.956 -3.038 -2.538
O 5.389 -7.153 -5.914
O 4.421 -7.812 -0.012
O 13.532 -9.814 -6.953
O 11.450 -7.434 -4.854
O 3.137 -3.071 -0.270
O 0.450 -3.470 -1.536
O 8.585 -8.144 -4.762
O 3.425 -2.438 -4.740
O 6.899 -6.075 -4.055
O 4.976 -7.598 -2.726
O -1.657 -3.859 0.172
O 3.907 -8.995 -4.809
O 11.424 -10.203 -5.245
O 3.290 -5.529 -2.019
O 10.115 -8.744 -2.561
O 1.760 -4.929 -4.221
O 6.919 -10.635 -4.243
O 4.476 -5.189 -4.513
O 1.191 -1.072 -0.822
O 7.399 -8.484 -2.269
Re 5.793 -8.233 -1.130
Re -0.613 -4.905 -0.889
Re 6.081 -5.440 -5.651
Re 12.488 -8.768 -5.892
Ho 6.395 -8.521 -4.410
Ho 2.959 -4.222 -5.988
Ho 2.192 -6.728 -0.496
Ho 12.155 -7.967 -2.660
Ho 2.631 -3.399 -2.734
Ho -0.280 -5.706 -4.122
Ho 9.066 -6.671 -2.980
Ho 9.682 -6.945 -6.285
Ho 9.244 -10.274 -4.048
Ho 8.916 -9.451 -0.793
Ho 5.479 -5.153 -2.371
Ho 2.808 -7.002 -3.801
```

Summary:
* crystal system: monoclinic
* total moment: 0.000 μB per formula unit
* symmetry: P2_1/c, No. 14

---

ii:
Here is an optimized crystal structure of Ho3ReO8 from Alexandria. Energies are from PBE-GGA.

Structure (extended XYZ):
```
24
Lattice="6.272 0.000 0.000 0.000 7.173 -0.002 0.000 2.676 6.656" Properties=species:S:1:pos:R:3 pbc="T T T"
O 4.704 5.639 6.372
O 4.704 0.251 0.170
O 4.704 3.387 2.288
O 3.136 4.155 4.467
O 1.568 1.833 3.800
O 6.272 5.694 2.187
O 5.956 8.012 5.412
O 2.820 1.837 1.241
O 0.316 1.837 1.241
O 0.000 4.155 4.467
O 4.704 8.016 2.854
O 1.568 4.210 0.282
O 3.452 8.012 5.412
O 1.568 6.462 4.366
O 3.136 5.694 2.187
O 1.568 9.598 6.483
Ho 1.568 4.771 5.936
Ho 4.704 5.847 3.950
Ho 4.704 5.078 0.717
Ho 1.568 4.002 2.704
Ho 4.704 2.561 4.443
Ho 1.568 7.288 2.210
Re 1.568 8.073 5.454
Re 4.704 1.776 1.200
```

Summary:
* crystal system: orthorhombic
* total moment: 0.000 μB per formula unit
* symmetry: Cmcm, No. 63

---

Energy ordering: i at the bottom, the next structure 29 meV/atom above.

---

i:
Here is an optimized crystal structure of Ho2RhO from Alexandria. Energies are from PBE-GGA.

Structure (extended XYZ):
```
4
Lattice="-2.993 0.669 -0.650 -0.153 -2.507 -1.876 -2.023 -3.865 5.330" Properties=species:S:1:pos:R:3 pbc="T T T"
Ho -1.555 -2.971 4.097
Ho -0.468 -0.894 1.233
Rh -2.584 -2.851 1.402
O -1.573 -0.919 -1.263
```

Summary:
* crystal system: tetragonal
* total moment: 0.000 μB per formula unit
* symmetry: P4/mmm, No. 123

---

ii:
Here is an optimized crystal structure of Ho2RhO from Alexandria. Energies are from PBE-GGA.

Structure (extended XYZ):
```
4
Lattice="3.477 0.000 0.000 1.739 3.011 0.000 1.739 1.004 6.855" Properties=species:S:1:pos:R:3 pbc="T T T"
Ho 1.739 1.004 1.950
Ho 5.216 3.011 4.905
O 3.477 2.007 3.427
Rh 0.000 0.000 0.000
```

Summary:
* crystal system: trigonal
* total moment: 0.000 μB per formula unit
* symmetry: R-3m, No. 166

---

Energy ordering: ii at the bottom, the next structure 308 meV/atom above.

---

i:
Here is an optimized crystal structure of HoRuO4 from Alexandria. Energies are from PBE-GGA.

Structure (extended XYZ):
```
24
Lattice="-3.620 3.356 -1.840 -3.199 -5.606 -3.931 -3.802 -0.637 6.317" Properties=species:S:1:pos:R:3 pbc="T T T"
Ho -6.029 0.035 1.126
Ho -6.246 -3.470 2.704
Ho -4.375 0.582 -2.158
Ho -4.592 -2.922 -0.580
O -9.398 -2.357 1.090
O -6.085 2.217 2.459
O -7.514 -4.425 0.698
O -6.188 -0.649 3.351
O -4.536 -5.105 -1.913
O -3.107 1.537 -0.152
O -6.185 -0.228 -3.129
O -3.982 -0.053 2.178
O -1.223 -0.530 -0.544
O -4.433 -2.238 -2.805
O -6.373 -2.135 0.901
O -4.436 -2.659 3.675
O -4.570 -4.191 1.250
O -6.639 -2.834 -1.632
O -4.248 -0.752 -0.354
O -6.051 1.304 -0.704
Ru -7.992 -2.713 -0.241
Ru -2.629 -0.174 0.788
Ru -6.233 -2.263 -3.472
Ru -4.388 -0.624 4.018
```

Summary:
* crystal system: monoclinic
* total moment: 0.000 μB per formula unit
* symmetry: P2_1/c, No. 14

---

ii:
Here is an optimized crystal structure of HoRuO4 from Alexandria. Energies are from PBE-GGA.

Structure (extended XYZ):
```
12
Lattice="5.166 0.000 0.000 0.000 5.166 0.000 -2.583 -2.583 5.574" Properties=species:S:1:pos:R:3 pbc="T T T"
O 1.326 -1.687 3.742
O 4.271 3.909 1.832
O 3.479 1.258 0.955
O -1.326 1.687 3.742
O 0.896 1.258 1.832
O 1.687 3.909 0.955
O 1.326 0.896 4.619
O -1.326 -0.896 4.619
Ho 2.583 0.000 2.787
Ho 0.000 0.000 0.000
Ru 2.583 2.583 0.000
Ru 0.000 2.583 2.787
```

Summary:
* crystal system: tetragonal
* total moment: 1.017 μB per formula unit
* symmetry: I4_1/a, No. 88

---

Energy ordering: i at the bottom, the next structure 122 meV/atom above.

---

i:
Here is an optimized crystal structure of Ho2SbO2 from Alexandria. Energies are from PBE-GGA.

Structure (extended XYZ):
```
5
Lattice="7.182 -0.006 0.000 5.136 5.020 0.000 -6.159 -2.507 2.713" Properties=species:S:1:pos:R:3 pbc="T T T"
Ho 4.111 1.673 0.000
Ho 8.207 3.340 0.000
O 3.591 -0.003 1.356
O 2.568 2.510 1.356
Sb 0.000 0.000 0.000
```

Summary:
* crystal system: tetragonal
* total moment: 0.000 μB per formula unit
* symmetry: I4/mmm, No. 139

---

ii:
Here is an optimized crystal structure of Ho2SbO2 from Alexandria. Energies are from PBE-GGA.

Structure (extended XYZ):
```
10
Lattice="-6.665 2.560 1.779 -4.318 -3.095 3.576 -1.358 4.191 4.328" Properties=species:S:1:pos:R:3 pbc="T T T"
Ho -5.568 0.637 5.824
Ho -8.287 3.068 7.456
Ho -4.054 0.588 2.226
Ho -6.773 3.019 3.859
Sb -8.907 0.746 5.238
Sb -3.433 2.910 4.444
O -5.807 0.809 3.613
O -6.534 2.847 6.069
O -1.949 1.630 1.641
O -10.392 2.026 8.042
```

Summary:
* crystal system: triclinic
* total moment: 0.000 μB per formula unit
* symmetry: P-1, No. 2

---

Energy ordering: i at the bottom, the next structure 115 meV/atom above.

---

i:
Here is an optimized crystal structure of Ho2SbO from Alexandria. Energies are from PBE-GGA.

Structure (extended XYZ):
```
4
Lattice="3.684 0.000 0.000 1.842 3.191 0.000 1.842 1.064 6.961" Properties=species:S:1:pos:R:3 pbc="T T T"
Ho 1.842 1.064 1.265
Ho 5.527 3.191 5.696
Sb 3.684 2.127 3.480
O 0.000 0.000 0.000
```

Summary:
* crystal system: trigonal
* total moment: 0.000 μB per formula unit
* symmetry: R-3m, No. 166

---

ii:
Here is an optimized crystal structure of Ho2SbO from Alexandria. Energies are from PBE-GGA.

Structure (extended XYZ):
```
8
Lattice="4.446 0.000 -0.003 0.000 4.446 -0.003 0.004 0.004 8.698" Properties=species:S:1:pos:R:3 pbc="T T T"
Ho 1.111 1.111 1.376
Ho 3.339 3.339 7.315
Ho 1.113 3.336 4.346
Ho 3.336 1.113 4.346
Sb 1.116 1.115 6.954
Sb 3.334 3.334 1.738
O 1.113 1.113 3.707
O 3.337 3.337 4.985
```

Summary:
* crystal system: tetragonal
* total moment: 0.000 μB per formula unit
* symmetry: P4/nmm, No. 129

---

iii:
Here is an optimized crystal structure of Ho2SbO from Alexandria. Energies are from PBE-GGA.

Structure (extended XYZ):
```
16
Lattice="-6.461 3.274 2.251 -2.243 -0.075 -6.327 -4.268 -5.983 1.584" Properties=species:S:1:pos:R:3 pbc="T T T"
Ho -10.125 -1.743 2.352
Ho -2.846 -1.041 -4.845
Ho -4.110 -1.591 0.648
Ho -5.030 -2.810 -2.573
Ho -7.224 -3.391 0.297
Ho -7.941 0.026 0.081
Ho -5.746 0.608 -2.789
Ho -8.860 -1.193 -3.140
Sb -2.706 -0.493 -1.720
Sb -10.264 -2.291 -0.773
Sb -5.367 1.164 1.012
Sb -7.604 -3.947 -3.505
O -4.957 -1.097 -4.056
O -7.883 0.550 -2.071
O -8.014 -1.686 1.563
O -5.088 -3.334 -0.421
```

Summary:
* crystal system: monoclinic
* total moment: 0.000 μB per formula unit
* symmetry: P2_1/c, No. 14

---

Energy ordering: ii at the bottom, the next structure 115 meV/atom above.